BaCdSi2 | PBE | relaxed

```
BaCdSi2
1.0
-2.531 2.531 9.211
2.531 -2.531 9.211
2.531 2.531 -9.211
Ba Cd Si
2 2 4
Direct
0.375 0.625 0.750
0.625 0.375 0.250
0.125 0.875 0.250
0.875 0.125 0.750
0.000 0.000 0.000
0.000 0.000 0.500
0.000 0.500 0.000
0.500 0.000 0.500
```

Formation energy without anion corrections in meV/atom: -5


PrSnHg | PBE | relaxed

```
PrSnHg
1.0
4.793 0.000 0.000
-2.396 4.150 0.000
0.000 0.000 4.249
Pr Sn Hg
1 1 1
Direct
0.000 0.000 0.000
0.667 0.333 0.430
0.333 0.667 0.626
```

ΔH_f (0 K) in kJ/mol of formula units: -157


H4SeI | PBE | relaxed

```
H4SeI
1.0
6.097 0.000 0.000
0.000 5.359 0.000
-5.928 0.000 7.847
H Se I
8 2 2
Direct
0.178 0.086 0.248
0.178 0.914 0.748
0.236 0.248 0.487
0.236 0.752 0.987
0.764 0.248 0.013
0.764 0.752 0.513
0.822 0.086 0.252
0.822 0.914 0.752
0.000 0.280 0.250
0.000 0.720 0.750
0.500 0.242 0.750
0.500 0.758 0.250
```


PaFe2Si | PBE | relaxed

```
PaFe2Si
1.0
2.896 0.000 0.000
0.000 2.896 0.000
0.000 0.000 6.612
Pa Fe Si
1 2 1
Direct
0.000 0.000 0.000
0.500 0.500 0.304
0.500 0.500 0.696
0.000 0.000 0.500
```

Formation energy without anion corrections in meV/atom: -234


LaNd2Dy3 | PBE | relaxed

```
LaNd2Dy3
1.0
11.733 -1.770 0.000
11.733 1.770 0.000
-3.338 0.000 9.906
La Nd Dy
2 4 6
Direct
0.186 0.186 0.036
0.814 0.814 0.964
0.191 0.191 0.373
0.434 0.434 0.859
0.566 0.566 0.141
0.809 0.809 0.627
0.059 0.059 0.447
0.195 0.195 0.715
0.432 0.432 0.242
0.568 0.568 0.758
0.805 0.805 0.285
0.941 0.941 0.553
```

ΔH_f (0 K) in kJ/mol of formula units: 69


KVHg | PBE | relaxed

```
KVHg
1.0
5.446 0.000 0.000
-2.723 4.717 0.000
0.000 0.000 6.162
K V Hg
2 2 2
Direct
0.000 0.000 0.000
0.000 0.000 0.500
0.333 0.667 0.250
0.667 0.333 0.750
0.333 0.667 0.750
0.667 0.333 0.250
```

ΔH_f (0 K) in kJ/mol of formula units: 221


PmTeS | PBE | relaxed

```
PmTeS
1.0
5.321 -1.963 0.000
5.321 1.963 0.000
-3.888 0.000 7.818
Pm Te S
2 2 2
Direct
0.170 0.170 0.165
0.830 0.830 0.835
0.137 0.137 0.522
0.863 0.863 0.478
0.416 0.416 0.107
0.584 0.584 0.893
```

Formation energy without anion corrections in meV/atom: -1391


BaSr2Se3 | PBE | relaxed

```
BaSr2Se3
1.0
-2.270 3.228 6.822
2.270 -3.228 6.822
2.270 3.228 -6.822
Ba Sr Se
1 2 3
Direct
0.000 0.000 0.000
0.333 0.333 0.000
0.667 0.667 0.000
0.175 0.675 0.500
0.500 0.000 0.500
0.825 0.325 0.500
```

Formation energy without anion corrections in meV/atom: -2049


| no. | DFT total energy (eV per cell) |
| --- | --- |
| 1 | -27.41 |
| 2 | -10.71 |
| 3 | -34.28 |
| 4 | -32.78 |
| 5 | -55.11 |
| 6 | -16.46 |
| 7 | -32.39 |
| 8 | -28.03 |